Entry from Alexandria via LeMat-Bulk: Ac6As3Se2Br after structural relaxation (PBE).

E_form (uncorrected) = -1.630 eV/atom
Total moment = 0.00 μB per atom

a = 10.105 Å, b = 10.105 Å, c = 9.053 Å
α = 102.87°, β = 102.87°, γ = 25.80°
Fractional coordinates of all 12 atoms:
Ac: 0.002 0.002 0.232
Ac: 0.326 0.326 0.418
Ac: 0.334 0.334 0.911
Ac: 0.666 0.666 0.089
Ac: 0.674 0.674 0.582
Ac: 0.998 0.998 0.768
As: 0.164 0.164 0.334
As: 0.500 0.500 0.000
As: 0.836 0.836 0.666
Se: 0.166 0.166 0.832
Se: 0.834 0.834 0.168
Br: 0.500 0.500 0.500